No. 1
! Th2TlRuAu (PBE-GGA, optimized geometry); values from VASP
! Fermi-level density of states: 3.1 states/eV/f.u.
! space group: P2_1/m (11)
! E_tot: -6.43 eV per atom
! ΔE_f: -482 meV/atom
! V: 257 Å³ per cell
&SYSTEM
  ibrav = 0, nat = 10, ntyp = 4
/
ATOMIC_SPECIES
Th 232.04 Th.upf
Tl 204.38 Tl.upf
Ru 101.07 Ru.upf
Au 196.97 Au.upf
CELL_PARAMETERS angstrom
8.1201 0.0000 0.0000
0.0000 4.0876 0.0000
-2.9878 0.0000 7.7509
ATOMIC_POSITIONS crystal
Th 0.0309 0.2500 0.2367
Th 0.3548 0.7500 0.6183
Th 0.6452 0.2500 0.3817
Th 0.9691 0.7500 0.7633
Tl 0.3389 0.2500 0.9701
Tl 0.6611 0.7500 0.0299
Ru 0.1174 0.2500 0.6230
Ru 0.8826 0.7500 0.3770
Au 0.3107 0.7500 0.2289
Au 0.6893 0.2500 0.7711

---

No. 2
! Th2ZnRuAu (PBE-GGA, optimized geometry); values from VASP
! Fermi-level density of states: 3.4 states/eV/f.u.
! space group: P2_1/m (11)
! E_tot: -6.27 eV per atom
! ΔE_f: -536 meV/atom
! V: 234 Å³ per cell
&SYSTEM
  ibrav = 0, nat = 10, ntyp = 4
/
ATOMIC_SPECIES
Th 232.04 Th.upf
Zn 65.41 Zn.upf
Ru 101.07 Ru.upf
Au 196.97 Au.upf
CELL_PARAMETERS angstrom
7.8114 0.0000 0.0000
0.0000 4.0458 0.0000
-2.7753 0.0000 7.4123
ATOMIC_POSITIONS crystal
Th 0.0208 0.2500 0.2188
Th 0.3643 0.7500 0.6197
Th 0.6357 0.2500 0.3803
Th 0.9792 0.7500 0.7812
Zn 0.3577 0.2500 0.9531
Zn 0.6423 0.7500 0.0469
Ru 0.1209 0.2500 0.6264
Ru 0.8791 0.7500 0.3736
Au 0.3133 0.7500 0.1875
Au 0.6867 0.2500 0.8125

---

No. 3
! TiRu3Au (PBE-GGA, optimized geometry); values from VASP
! Fermi-level density of states: 4.5 states/eV/f.u.
! space group: Pm-3m (221)
! E_tot: -6.66 eV per atom
! ΔE_f: 1136 meV/atom
! V: 91 Å³ per cell
! excess energy over the best structure of this formula in the dataset: 0 meV/atom
&SYSTEM
  ibrav = 0, nat = 5, ntyp = 3
/
ATOMIC_SPECIES
Ti 47.87 Ti.upf
Ru 101.07 Ru.upf
Au 196.97 Au.upf
CELL_PARAMETERS angstrom
4.5050 0.0000 0.0000
0.0000 4.5050 0.0000
0.0000 0.0000 4.5050
ATOMIC_POSITIONS crystal
Ti 0.0000 0.0000 0.0000
Ru 0.0000 0.0000 0.5000
Ru 0.0000 0.5000 0.0000
Ru 0.5000 0.0000 0.0000
Au 0.5000 0.5000 0.5000

---

No. 4
! TiRu3Au (PBE-GGA, optimized geometry); values from VASP
! Fermi-level density of states: 8.8 states/eV/f.u.
! space group: Pm-3m (221)
! E_tot: -5.78 eV per atom
! ΔE_f: 2016 meV/atom
! V: 112 Å³ per cell
! excess energy over the best structure of this formula in the dataset: 879 meV/atom
&SYSTEM
  ibrav = 0, nat = 5, ntyp = 3
/
ATOMIC_SPECIES
Ti 47.87 Ti.upf
Ru 101.07 Ru.upf
Au 196.97 Au.upf
CELL_PARAMETERS angstrom
4.8170 0.0000 0.0000
0.0000 4.8170 0.0000
0.0000 0.0000 4.8170
ATOMIC_POSITIONS crystal
Ti 0.0000 0.0000 0.0000
Ru 0.0000 0.5000 0.5000
Ru 0.5000 0.0000 0.5000
Ru 0.5000 0.5000 0.0000
Au 0.5000 0.5000 0.5000